(1)
VASP calculation (PBE-GGA) on an optimized crystal structure of CaCuNi.

a = 5.606 Å, b = 5.606 Å, c = 5.591 Å
α = 107.74°, β = 107.74°, γ = 42.57°
Fractional positions:
Ca (0.000, 0.000, 0.000)
Ca (0.219, 0.219, 0.610)
Cu (0.335, 0.335, 0.199)
Cu (0.711, 0.711, 0.018)
Ni (0.510, 0.510, 0.622)
Ni (0.905, 0.905, 0.436)

Properties
- Space-group type: Cm
- ρ: 4.8 g cm⁻³
- DOS at the Fermi energy: 3.10 states/eV per cell
- Volume: 112.3 Å³/cell
- DFT formation energy: -0.113 eV per atom



(2)
VASP calculation (PBE-GGA) on an optimized crystal structure of Ca2CuNi.

a = 4.937 Å, b = 4.937 Å, c = 3.495 Å
α = 90.00°, β = 90.00°, γ = 90.00°
Fractional positions:
Ca (0.000, 0.500, 0.000)
Ca (0.500, 0.000, 0.000)
Cu (0.000, 0.000, 0.500)
Ni (0.500, 0.500, 0.500)

Properties
- Space-group type: P4/mmm
- ρ: 3.9 g cm⁻³
- DOS at the Fermi energy: 2.85 states/eV per cell
- Volume: 85.2 Å³/cell
- DFT formation energy: -0.014 eV per atom



(3)
VASP calculation (PBE-GGA) on an optimized crystal structure of CaCuNi2.

a = 8.815 Å, b = 8.815 Å, c = 8.815 Å
α = 151.89°, β = 151.89°, γ = 40.17°
Fractional positions:
Ca (0.000, 0.000, 0.000)
Ca (0.750, 0.250, 0.500)
Cu (0.250, 0.750, 0.500)
Cu (0.500, 0.500, 0.000)
Ni (0.300, 0.625, 0.175)
Ni (0.375, 0.550, 0.675)
Ni (0.450, 0.125, 0.825)
Ni (0.875, 0.700, 0.325)

Properties
- Space-group type: I-42d
- ρ: 4.8 g cm⁻³
- DOS at the Fermi energy: 10.39 states/eV per cell
- Volume: 151.8 Å³/cell
- DFT formation energy: 0.209 eV per atom



(4)
VASP calculation (PBE-GGA) on an optimized crystal structure of CaCuNi2.

a = 8.663 Å, b = 8.663 Å, c = 8.663 Å
α = 33.91°, β = 33.91°, γ = 33.91°
Fractional positions:
Ca (0.000, 0.000, 0.000)
Ca (0.139, 0.139, 0.139)
Ca (0.861, 0.861, 0.861)
Cu (0.333, 0.333, 0.333)
Cu (0.500, 0.500, 0.500)
Cu (0.667, 0.667, 0.667)
Ni (0.081, 0.582, 0.582)
Ni (0.418, 0.418, 0.919)
Ni (0.418, 0.919, 0.418)
Ni (0.582, 0.081, 0.582)
Ni (0.582, 0.582, 0.081)
Ni (0.919, 0.418, 0.418)

Properties
- Space-group type: R-3m
- ρ: 6.1 g cm⁻³
- DOS at the Fermi energy: 8.94 states/eV per cell
- Volume: 180.3 Å³/cell
- DFT formation energy: -0.169 eV per atom



(5)
VASP calculation (PBE-GGA) on an optimized crystal structure of CaCu2Ni2.

a = 7.192 Å, b = 7.192 Å, c = 2.752 Å
α = 90.00°, β = 90.00°, γ = 90.00°
Fractional positions:
Ca (0.000, 0.000, 0.000)
Ca (0.500, 0.500, 0.000)
Cu (0.125, 0.375, 0.000)
Cu (0.375, 0.875, 0.000)
Cu (0.625, 0.125, 0.000)
Cu (0.875, 0.625, 0.000)
Ni (0.167, 0.667, 0.500)
Ni (0.333, 0.167, 0.500)
Ni (0.667, 0.833, 0.500)
Ni (0.833, 0.333, 0.500)

Properties
- Space-group type: P4/mbm
- ρ: 6.6 g cm⁻³
- ΔE to the lowest computed polymorph: 1.38 kcal/mol of atoms
- DOS at the Fermi energy: 5.85 states/eV per cell
- Volume: 142.4 Å³/cell
- DFT formation energy: 0.063 eV per atom



(6)
VASP calculation (PBE-GGA) on an optimized crystal structure of Ca2CuNi.

a = 3.473 Å, b = 3.505 Å, c = 7.006 Å
α = 90.00°, β = 90.00°, γ = 90.00°
Fractional positions:
Ca (0.000, 0.000, 0.238)
Ca (0.000, 0.000, 0.762)
Cu (0.500, 0.500, 0.500)
Ni (0.500, 0.500, 0.000)

Properties
- Space-group type: Pmmm
- ρ: 3.9 g cm⁻³
- DOS at the Fermi energy: 1.96 states/eV per cell
- Volume: 85.3 Å³/cell
- DFT formation energy: -0.025 eV per atom



(7)
VASP calculation (PBE-GGA) on an optimized crystal structure of CaCuNi.

a = 5.452 Å, b = 5.452 Å, c = 5.452 Å
α = 134.39°, β = 97.56°, γ = 99.72°
Fractional positions:
Ca (0.198, 0.250, 0.448)
Ca (0.802, 0.750, 0.552)
Cu (0.590, 0.935, 0.155)
Cu (0.779, 0.435, 0.845)
Ni (0.233, 0.562, 0.171)
Ni (0.391, 0.062, 0.829)

Properties
- Space-group type: Ima2
- ρ: 5.1 g cm⁻³
- DOS at the Fermi energy: 4.85 states/eV per cell
- Volume: 106.7 Å³/cell
- DFT formation energy: -0.081 eV per atom



(8)
VASP calculation (PBE-GGA) on an optimized crystal structure of CaCuNi.

a = 5.175 Å, b = 5.175 Å, c = 5.131 Å
α = 119.56°, β = 119.56°, γ = 90.09°
Fractional positions:
Ca (0.123, 0.877, 0.750)
Ca (0.877, 0.123, 0.250)
Cu (0.500, 0.500, 0.000)
Cu (0.500, 0.500, 0.500)
Ni (0.000, 0.500, 0.000)
Ni (0.500, 0.000, 0.500)

Properties
- Space-group type: C2/c
- ρ: 5.5 g cm⁻³
- DOS at the Fermi energy: 1.90 states/eV per cell
- Volume: 98.4 Å³/cell
- DFT formation energy: -0.167 eV per atom